(1)
Zn2AsOs | PBE | relaxed

Properties
The value obtained for the formation energy from the elements is 411 meV per atom. The value obtained for the total magnetization is 0.0000 μB/atom. The density of states at the Fermi level comes out at 2.74 states/eV per cell. As for the space-group type: No. 216.

Unit cell a=4.4107 b=4.4107 c=4.4107 alpha=60.00 beta=60.00 gamma=60.00
Fractional coordinates of all 4 atoms:
Zn: 0.0000 0.0000 0.0000
Zn: 0.2500 0.2500 0.2500
As: 0.7500 0.7500 0.7500
Os: 0.5000 0.5000 0.5000

(2)
Zn4AsOs | PBE | relaxed

Properties
The value obtained for the formation energy from the elements is 272 meV per atom. The value obtained for the total magnetization is 0.0000 μB/atom. The density of states at the Fermi level comes out at 2.12 states/eV per cell. As for the space-group type: No. 216.

Unit cell a=4.9915 b=4.9915 c=4.9915 alpha=60.00 beta=60.00 gamma=60.00
Fractional coordinates of all 6 atoms:
Zn: 0.1241 0.1241 0.1241
Zn: 0.1241 0.1241 0.6278
Zn: 0.1241 0.6278 0.1241
Zn: 0.6278 0.1241 0.1241
As: 0.5000 0.5000 0.5000
Os: 0.7500 0.7500 0.7500

(3)
Zn2AsOs | PBE | relaxed

Properties
The value obtained for the formation energy from the elements is 341 meV per atom. The value obtained for the total magnetization is 0.0000 μB/atom. The density of states at the Fermi level comes out at 1.95 states/eV per cell. As for the space-group type: No. 65.

Unit cell a=2.7933 b=2.7933 c=9.3916 alpha=90.00 beta=90.00 gamma=119.24
Fractional coordinates of all 4 atoms:
Zn: 0.0000 0.0000 0.2333
Zn: 0.0000 0.0000 0.7667
As: 0.5000 0.5000 0.5000
Os: 0.5000 0.5000 0.0000

(4)
Zn2AsOs | PBE | relaxed

Properties
The value obtained for the formation energy from the elements is 260 meV per atom. The value obtained for the total magnetization is 0.0000 μB/atom. The density of states at the Fermi level comes out at 2.04 states/eV per cell. As for the space-group type: No. 123.

Unit cell a=3.4586 b=3.4586 c=5.0314 alpha=90.00 beta=90.00 gamma=90.00
Fractional coordinates of all 4 atoms:
Zn: 0.0000 0.0000 0.2443
Zn: 0.0000 0.0000 0.7557
As: 0.5000 0.5000 0.5000
Os: 0.5000 0.5000 0.0000

(5)
ZnAs2Os | PBE | relaxed

Properties
The value obtained for the formation energy from the elements is 378 meV per atom. The value obtained for the total magnetization is 0.0000 μB/atom. The density of states at the Fermi level comes out at 0.97 states/eV per cell. As for the space-group type: No. 10.

Unit cell a=3.7079 b=4.1146 c=5.0611 alpha=90.00 beta=108.17 gamma=90.00
Fractional coordinates of all 4 atoms:
Zn: 0.0000 0.0000 0.0000
As: 0.4182 0.5000 0.7502
As: 0.5818 0.5000 0.2498
Os: 0.5000 0.0000 0.5000

(6)
ZnAsOs | PBE | relaxed

Properties
The value obtained for the formation energy from the elements is 342 meV per atom. The excess energy over the best structure of this formula in the dataset comes out at 0.188 eV/atom. The value obtained for the total magnetization is 0.0000 μB/atom. The density of states at the Fermi level comes out at 1.49 states/eV per cell. As for the space-group type: No. 187.

Unit cell a=4.1948 b=4.1948 c=3.1345 alpha=90.00 beta=90.00 gamma=120.00
Fractional coordinates of all 3 atoms:
Zn: 0.0000 0.0000 0.0000
As: 0.6667 0.3333 0.5000
Os: 0.3333 0.6667 0.5000